(1)
This record from Alexandria via LeMat-Bulk describes V2PW after structural relaxation. The functional is PBE.

```
8
Lattice="4.743 0.000 0.000 -1.058 4.635 0.000 -0.005 -0.019 5.099" Properties=species:S:1:pos:R:3 pbc="T T T"
V 0.000 0.000 0.000
V 0.013 2.371 3.748
V 1.210 0.364 2.624
V 2.416 1.868 0.008
P 1.352 4.121 4.675
P 3.552 0.857 2.167
W 0.168 2.586 1.171
W 2.498 3.101 2.618
```

The density of states at the Fermi level comes out at 5.886 states/eV/cell. The volume is 112.08 Å³ per cell. The calculation puts the formation energy at -366 meV/atom.

---

(2)
This record from Alexandria via LeMat-Bulk describes V2PW after structural relaxation. The functional is PBE.

```
4
Lattice="2.434 -3.999 0.000 2.434 3.999 0.000 -1.223 0.000 2.837" Properties=species:S:1:pos:R:3 pbc="T T T"
V 2.434 2.303 0.000
V 2.434 -2.303 0.000
P 0.154 0.000 1.802
W 2.522 0.000 1.148
```

The density of states at the Fermi level comes out at 3.110 states/eV/cell. The volume is 55.22 Å³ per cell. The calculation puts the formation energy at -276 meV/atom.

---

(3)
This record from Alexandria via LeMat-Bulk describes VPW3 after structural relaxation. The functional is PBE.

```
5
Lattice="4.435 0.000 0.000 0.000 4.435 0.000 0.000 0.000 4.435" Properties=species:S:1:pos:R:3 pbc="T T T"
V 0.000 0.000 0.000
P 2.218 2.218 2.218
W 0.000 2.218 2.218
W 2.218 0.000 2.218
W 2.218 2.218 0.000
```

The density of states at the Fermi level comes out at 4.952 states/eV/cell. The volume is 87.24 Å³ per cell. The calculation puts the formation energy at 917 meV/atom. The energy above the most stable polymorph in this dataset comes out at 0.00 eV/f.u.

---

(4)
This record from Alexandria via LeMat-Bulk describes V2PW after structural relaxation. The functional is PBE.

```
4
Lattice="3.161 0.000 0.000 0.000 1.541 5.835 0.000 -1.541 5.835" Properties=species:S:1:pos:R:3 pbc="T T T"
V 0.000 0.000 0.000
V 0.000 0.000 3.062
P 1.581 0.000 9.913
W 1.581 0.000 7.326
```

The density of states at the Fermi level comes out at 3.887 states/eV/cell. The volume is 56.85 Å³ per cell. The calculation puts the formation energy at -313 meV/atom.

---

(5)
This record from Alexandria via LeMat-Bulk describes VP3W after structural relaxation. The functional is PBE.

```
5
Lattice="4.482 0.000 0.000 0.000 4.482 0.000 0.000 0.000 4.482" Properties=species:S:1:pos:R:3 pbc="T T T"
V 0.000 0.000 0.000
P 0.000 0.000 2.241
P 0.000 2.241 0.000
P 2.241 0.000 0.000
W 2.241 2.241 2.241
```

The density of states at the Fermi level comes out at 4.091 states/eV/cell. The volume is 90.01 Å³ per cell. The calculation puts the formation energy at 1035 meV/atom.

---

(6)
This record from Alexandria via LeMat-Bulk describes V2P2W after structural relaxation. The functional is PBE.

```
10
Lattice="6.440 0.000 0.000 0.000 6.440 0.000 0.000 0.000 3.174" Properties=species:S:1:pos:R:3 pbc="T T T"
V 0.966 2.254 0.000
V 2.254 5.473 0.000
V 4.186 0.966 0.000
V 5.473 4.186 0.000
P 0.917 4.137 1.587
P 2.303 0.917 1.587
P 4.137 5.523 1.587
P 5.523 2.303 1.587
W 0.000 0.000 1.587
W 3.220 3.220 1.587
```

The density of states at the Fermi level comes out at 9.539 states/eV/cell. The volume is 131.62 Å³ per cell. The calculation puts the formation energy at -499 meV/atom.

---

(7)
This record from Alexandria via LeMat-Bulk describes V2PW after structural relaxation. The functional is PBE.

```
8
Lattice="-3.568 3.568 2.383 3.568 -3.568 2.383 3.568 3.568 -2.383" Properties=species:S:1:pos:R:3 pbc="T T T"
V 1.784 1.262 -0.596
V 2.306 -1.784 2.979
V 1.784 2.306 1.787
V 1.262 5.351 0.596
P 0.000 0.000 0.000
P 0.000 3.568 1.192
W 3.568 0.000 1.192
W 0.000 0.000 2.383
```

The density of states at the Fermi level comes out at 7.686 states/eV/cell. The volume is 121.33 Å³ per cell. The calculation puts the formation energy at 259 meV/atom.

---

(8)
This record from Alexandria via LeMat-Bulk describes VPW2 after structural relaxation. The functional is PBE.

```
8
Lattice="-1.867 1.867 9.111 1.867 -1.867 9.111 1.867 1.867 -9.111" Properties=species:S:1:pos:R:3 pbc="T T T"
V 0.000 0.000 0.000
V 0.000 1.867 4.555
P 1.867 0.000 4.555
P 0.000 0.000 9.111
W 0.934 -0.887 6.833
W 0.980 0.934 2.278
W 0.934 2.754 -2.278
W 0.887 0.934 11.388
```

The density of states at the Fermi level comes out at 8.819 states/eV/cell. The volume is 127.04 Å³ per cell. The calculation puts the formation energy at 497 meV/atom.

---

(9)
This record from Alexandria via LeMat-Bulk describes V2PW after structural relaxation. The functional is PBE.

```
8
Lattice="4.790 0.000 0.000 0.000 4.156 0.000 -1.345 0.000 5.504" Properties=species:S:1:pos:R:3 pbc="T T T"
V 0.000 0.000 0.000
V 0.240 2.078 2.084
V 1.334 0.000 4.023
V 2.486 2.078 3.337
P 3.472 2.078 0.252
P 3.902 0.000 3.158
W -0.101 2.078 4.808
W 2.329 0.000 1.282
```

The density of states at the Fermi level comes out at 5.621 states/eV/cell. The volume is 109.58 Å³ per cell. The calculation puts the formation energy at -283 meV/atom.

---

(10)
This record from Alexandria via LeMat-Bulk describes V2PW after structural relaxation. The functional is PBE.

```
4
Lattice="4.385 -1.591 0.000 4.385 1.591 0.000 -2.515 0.000 4.025" Properties=species:S:1:pos:R:3 pbc="T T T"
V 0.000 0.000 0.000
V 0.274 0.000 2.738
P 2.882 0.000 2.561
W 6.302 0.000 0.974
```

The density of states at the Fermi level comes out at 3.393 states/eV/cell. The volume is 56.17 Å³ per cell. The calculation puts the formation energy at -270 meV/atom.

---

(11)
This record from Alexandria via LeMat-Bulk describes YVP3 after structural relaxation. The functional is PBE.

```
5
Lattice="5.154 0.000 0.000 0.000 5.154 0.000 0.000 0.000 5.154" Properties=species:S:1:pos:R:3 pbc="T T T"
Y 0.000 0.000 0.000
V 2.577 2.577 2.577
P 0.000 0.000 2.577
P 0.000 2.577 0.000
P 2.577 0.000 0.000
```

The density of states at the Fermi level comes out at 9.054 states/eV/cell. The volume is 136.94 Å³ per cell. The calculation puts the formation energy at 982 meV/atom. The energy above the most stable polymorph in this dataset comes out at 6.73 eV/f.u.

---

(12)
This record from Alexandria via LeMat-Bulk describes Y3VP after structural relaxation. The functional is PBE.

```
5
Lattice="5.280 0.000 0.000 0.000 5.280 0.000 0.000 0.000 5.280" Properties=species:S:1:pos:R:3 pbc="T T T"
Y 0.000 0.000 2.640
Y 0.000 2.640 0.000
Y 2.640 0.000 0.000
V 2.640 2.640 2.640
P 0.000 0.000 0.000
```

The density of states at the Fermi level comes out at 8.233 states/eV/cell. The volume is 147.19 Å³ per cell. The calculation puts the formation energy at -79 meV/atom. The energy above the most stable polymorph in this dataset comes out at 0.00 eV/f.u.

---

(13)
This record from Alexandria via LeMat-Bulk describes YVP after structural relaxation. The functional is PBE.

```
6
Lattice="3.734 0.000 0.000 0.000 4.230 0.000 0.000 0.000 7.250" Properties=species:S:1:pos:R:3 pbc="T T T"
Y 0.000 0.000 0.000
Y 0.000 2.115 3.625
V 1.867 0.000 2.424
V 1.867 0.000 4.826
P 1.867 2.115 1.418
P 1.867 2.115 5.832
```

The density of states at the Fermi level comes out at 5.322 states/eV/cell. The volume is 114.50 Å³ per cell. The calculation puts the formation energy at -518 meV/atom.

---

(14)
This record from Alexandria via LeMat-Bulk describes YVP2 after structural relaxation. The functional is PBE.

```
4
Lattice="0.000 3.258 3.258 3.258 0.000 3.258 3.258 3.258 0.000" Properties=species:S:1:pos:R:3 pbc="T T T"
Y 0.000 0.000 0.000
V 3.258 3.258 3.258
P 1.629 1.629 1.629
P 4.887 4.887 4.887
```

The density of states at the Fermi level comes out at 1.284 states/eV/cell. The volume is 69.18 Å³ per cell. The calculation puts the formation energy at -556 meV/atom. The energy above the most stable polymorph in this dataset comes out at 0.00 eV/f.u.

---

(15)
This record from Alexandria via LeMat-Bulk describes YVP2 after structural relaxation. The functional is PBE.

```
4
Lattice="2.046 1.181 7.525 -2.046 1.181 7.525 0.000 -2.362 7.525" Properties=species:S:1:pos:R:3 pbc="T T T"
Y 0.000 0.000 0.000
V 0.000 0.000 11.288
P 0.000 0.000 9.026
P 0.000 0.000 13.550
```

The density of states at the Fermi level comes out at 3.824 states/eV/cell. The volume is 109.10 Å³ per cell. The calculation puts the formation energy at 16 meV/atom. The energy above the most stable polymorph in this dataset comes out at 2.29 eV/f.u.

---

(16)
This record from Alexandria via LeMat-Bulk describes YV2P after structural relaxation. The functional is PBE.

```
8
Lattice="-2.054 2.054 8.962 2.054 -2.054 8.962 2.054 2.054 -8.962" Properties=species:S:1:pos:R:3 pbc="T T T"
Y 0.000 0.000 0.000
Y 0.000 2.054 4.481
V 1.027 -0.332 6.722
V 1.722 1.027 2.241
V 1.027 2.386 -2.241
V 0.332 1.027 11.203
P 2.054 0.000 4.481
P 0.000 0.000 8.962
```

The density of states at the Fermi level comes out at 6.565 states/eV/cell. The volume is 151.27 Å³ per cell. The calculation puts the formation energy at -75 meV/atom.

---

(17)
This record from Alexandria via LeMat-Bulk describes Y2VP2 after structural relaxation. The functional is PBE.

```
10
Lattice="7.072 0.000 0.000 0.000 7.072 0.000 0.000 0.000 3.939" Properties=species:S:1:pos:R:3 pbc="T T T"
Y 1.130 2.405 0.000
Y 2.405 5.941 0.000
Y 4.666 1.130 0.000
Y 5.941 4.666 0.000
V 0.000 0.000 1.969
V 3.536 3.536 1.969
P 1.081 4.617 1.969
P 2.455 1.081 1.969
P 4.617 5.991 1.969
P 5.991 2.455 1.969
```

The density of states at the Fermi level comes out at 4.314 states/eV/cell. The volume is 196.97 Å³ per cell. The calculation puts the formation energy at -985 meV/atom.

---

(18)
This record from Alexandria via LeMat-Bulk describes YVP3 after structural relaxation. The functional is PBE.

```
5
Lattice="4.571 0.000 0.000 0.000 4.571 0.000 0.000 0.000 4.571" Properties=species:S:1:pos:R:3 pbc="T T T"
Y 0.000 0.000 0.000
V 2.286 2.286 2.286
P 0.000 2.286 2.286
P 2.286 0.000 2.286
P 2.286 2.286 0.000
```

The density of states at the Fermi level comes out at 4.178 states/eV/cell. The volume is 95.51 Å³ per cell. The calculation puts the formation energy at -364 meV/atom. The energy above the most stable polymorph in this dataset comes out at 0.00 eV/f.u.

---

(19)
This record from Alexandria via LeMat-Bulk describes Y2VP after structural relaxation. The functional is PBE.

```
8
Lattice="-4.926 4.926 2.267 4.926 -4.926 2.267 4.926 4.926 -2.267" Properties=species:S:1:pos:R:3 pbc="T T T"
Y 1.030 2.463 0.567
Y -2.463 3.896 1.700
Y -1.030 7.389 0.567
Y 2.463 5.956 1.700
V 4.926 0.000 1.133
V 0.000 0.000 2.267
P 0.000 0.000 0.000
P 0.000 4.926 1.133
```

The density of states at the Fermi level comes out at 7.516 states/eV/cell. The volume is 220.01 Å³ per cell. The calculation puts the formation energy at -156 meV/atom.

---

(20)
This record from Alexandria via LeMat-Bulk describes YV2P2 after structural relaxation. The functional is PBE.

```
5
Lattice="-1.878 1.878 5.729 1.878 -1.878 5.729 1.878 1.878 -5.729" Properties=species:S:1:pos:R:3 pbc="T T T"
Y 0.000 0.000 0.000
V 1.878 0.000 2.864
V 0.000 1.878 2.864
P 0.000 0.000 4.344
P 0.000 0.000 7.113
```

The density of states at the Fermi level comes out at 2.984 states/eV/cell. The volume is 80.80 Å³ per cell. The calculation puts the formation energy at -965 meV/atom. The energy above the most stable polymorph in this dataset comes out at 0.00 eV/f.u.